Computed, not measured: a relaxed structure of Nd8Ga2Si at the PBE level of DFT.

Summary:
The total energy is -4.81 eV/atom. Its density of states at the Fermi level is 11.6 states/eV/f.u. The formation energy without anion corrections is -0.30 eV/atom.

Geometry as POSCAR:
```
Nd8Ga2Si
1.0
-0.9409 -4.7155 1.6838
3.6873 -2.6084 -5.2442
6.8570 3.5706 6.1232
Ga Nd Si
2 8 1
direct
0.8180 0.2550 0.6360
0.1820 0.7450 0.3640
0.0192 0.7755 0.0384
0.6577 0.9797 0.3154
0.5917 0.4598 0.1834
0.9808 0.2245 0.9616
0.2098 0.3179 0.4197
0.7902 0.6821 0.5803
0.3423 0.0203 0.6846
0.4083 0.5402 0.8166
0.5000 0.0000 0.0000
```